Below is CsVTcCl6 after structural relaxation, with properties calculated at the PBE level.

Values from the calculation:
Crystal system: monoclinic
ΔE_f (raw): -1098 meV/atom

abc: 6.379 6.379 7.927
angles: 90.05 90.05 120.05
Fractional coordinates of all 9 atoms:
1 Cs 0.000 0.000 0.000
2 V 0.334 0.666 0.500
3 Tc 0.667 0.333 0.500
4 Cl 0.371 0.004 0.674
5 Cl 0.372 0.368 0.325
6 Cl 0.632 0.628 0.675
7 Cl 0.633 0.004 0.326
8 Cl 0.996 0.367 0.674
9 Cl 0.996 0.629 0.326